Below is a geometry-optimized K3Ag2I2F4 structure, with properties calculated at the GGA-PBE level. Values from VASP.

```
&SYSTEM
  ibrav = 0, nat = 11, ntyp = 4
/
ATOMIC_SPECIES
I 126.90 I.upf
K 39.10 K.upf
F 19.00 F.upf
Ag 107.87 Ag.upf
ATOMIC_POSITIONS angstrom
I 2.3023 2.3023 4.9881
K 0.0000 0.0000 3.5711
F 2.3023 0.0000 1.7301
F 0.0000 2.3023 1.7301
F 0.0000 2.3023 11.0007
I 0.0000 0.0000 7.7427
K 0.0000 0.0000 0.0000
Ag 2.3023 2.3023 2.1147
K 2.3023 2.3023 9.1597
F 2.3023 0.0000 11.0007
Ag 0.0000 0.0000 10.6161
CELL_PARAMETERS angstrom
4.6045 0.0000 0.0000
0.0000 4.6045 0.0000
-2.3023 -2.3023 12.7308
```

formation energy from raw total energies: -1687.3 kJ/mol of formula units



Below is a geometry-optimized K2AgIF structure, with properties calculated at the GGA-PBE level. Values from VASP.

```
&SYSTEM
  ibrav = 0, nat = 5, ntyp = 4
/
ATOMIC_SPECIES
K 39.10 K.upf
F 19.00 F.upf
Ag 107.87 Ag.upf
I 126.90 I.upf
ATOMIC_POSITIONS angstrom
K -1.3767 -0.7768 2.8272
K -1.0747 3.0396 0.3119
F -4.7488 1.5844 1.8340
Ag 0.0000 0.0000 0.0000
I -2.2975 -0.6784 -1.3051
CELL_PARAMETERS angstrom
-2.1494 6.0793 0.6237
-4.5949 -1.3568 -2.6102
-2.7533 -1.5536 5.6544
```

formation energy from raw total energies: -396.9 kJ/mol of formula units



Below is a geometry-optimized K2AgI2F2 structure, with properties calculated at the GGA-PBE level. Values from VASP.

```
&SYSTEM
  ibrav = 0, nat = 7, ntyp = 4
/
ATOMIC_SPECIES
Ag 107.87 Ag.upf
F 19.00 F.upf
I 126.90 I.upf
K 39.10 K.upf
ATOMIC_POSITIONS angstrom
Ag 0.0000 0.0000 0.0000
F 2.3895 0.0000 0.0000
I 2.3895 2.3895 5.8255
I 0.0000 0.0000 2.7907
K 0.0000 0.0000 6.9211
F 0.0000 2.3895 0.0000
K 2.3895 2.3895 1.6951
CELL_PARAMETERS angstrom
4.7790 0.0000 0.0000
0.0000 4.7790 0.0000
-2.3895 -2.3895 8.6163
```

formation energy from raw total energies: -994.4 kJ/mol of formula units



Number 1: total magnetization 0.00 μB per formula unit. Number 2: total magnetization 0.00 μB per formula unit. Number 3: total magnetization 0.00 μB per formula unit.